1.
Here is a relaxed YHg2Sb2 crystal from Alexandria via LeMat-Bulk. Energies are from PBE.

Lattice parameters (Å, degrees): 4.1301 4.1301 17.9950 90.00 90.00 90.00
Last column: nearest neighbours and their distance in Å.
Space group I4/mmm (No. 139)
Asymmetric unit:
Y (0.0000, 0.0000, 0.0000) [2 per cell]  8 Sb 3.26
Hg (0.0000, 0.5000, 0.2500) [4 per cell]  4 Hg 2.92
Sb (0.0000, 0.0000, 0.4198) [4 per cell]  1 Sb 2.89

Computed properties:
uncorrected formation energy	-0.309	eV per atom
final energy	-3.37	eV per atom

2.
Here is a relaxed CaCdAsF crystal from Alexandria via LeMat-Bulk. Energies are from PBE.

Lattice parameters (Å, degrees): 4.2151 4.2151 8.9776 90.00 90.00 90.00
Last column: nearest neighbours and their distance in Å.
Space group P4/nmm (No. 129, origin choice 2)
Asymmetric unit:
Ca (0.2500, 0.2500, 0.1331) [2 per cell]  4 F 2.42
Cd (0.2500, 0.7500, 0.5000) [2 per cell]  4 As 2.79, 4 Cd 2.98
As (0.2500, 0.2500, 0.7034) [2 per cell]  4 Cd 2.79
F (0.2500, 0.7500, 0.0000) [2 per cell]  4 Ca 2.42

Computed properties:
uncorrected formation energy	-1.763	eV per atom
final energy	-4.12	eV per atom

3.
Here is a relaxed Zr4InTe crystal from Alexandria via LeMat-Bulk. Energies are from PBE.

Lattice parameters (Å, degrees): 8.2918 8.2918 8.2918 90.00 90.00 90.00
Last column: nearest neighbours and their distance in Å.
Space group F-43m (No. 216)
Asymmetric unit:
Zr (0.1237, 0.1237, 0.1237) [16 per cell]  6 Zr 2.90-2.96
In (0.2500, 0.2500, 0.7500) [4 per cell]  12 Zr 3.43, 4 Te 3.59
Te (0.0000, 0.0000, 0.5000) [4 per cell]  12 Zr 3.44, 4 In 3.59

Computed properties:
uncorrected formation energy	0.086	eV per atom
final energy	-6.59	eV per atom

4.
Here is a relaxed Sr2TcIr crystal from Alexandria via LeMat-Bulk. Energies are from PBE.

Lattice parameters (Å, degrees): 7.3546 7.3546 7.3546 90.00 90.00 90.00
Last column: nearest neighbours and their distance in Å.
Space group Fm-3m (No. 225)
Asymmetric unit:
Sr (0.2500, 0.2500, 0.2500) [8 per cell]  4 Tc 3.18, 4 Ir 3.18
Tc (0.0000, 0.0000, 0.0000) [4 per cell]  8 Sr 3.18
Ir (0.0000, 0.0000, 0.5000) [4 per cell]  8 Sr 3.18

Computed properties:
final energy	-4.84	eV per atom
energy relative to the elements	802.8	meV/atom